Computed, not measured: a relaxed MnNi2Br crystal at the PBE level of DFT.

a = 6.020 Å, b = 6.020 Å, c = 6.020 Å
α = 149.04°, β = 142.79°, γ = 49.16°
Site moments in Bohr magnetons follow the coordinates.
Atoms (fractional coordinates):
Br  0.565  0.565  0.000  0.08
Mn  0.278  0.778  0.500  3.83
Ni  0.912  0.912  0.000  0.64
Ni  0.745  0.245  0.500  0.64

Computed properties:
Energy relative to the lowest polymorph listed for this composition   154 meV per atom
Formation energy (no corrections)   0.373 eV/atom
Total DFT energy (no corrections)   -20.912 eV/cell
SG   Imm2 (44)

***

Computed, not measured: a relaxed Mn2InCl crystal at the PBE level of DFT.

a = 5.102 Å, b = 5.102 Å, c = 5.102 Å
α = 129.52°, β = 129.52°, γ = 74.18°
Site moments in Bohr magnetons follow the coordinates.
Atoms (fractional coordinates):
Cl  0.250  0.750  0.500  0.10
Mn  0.000  0.000  0.000  3.79
Mn  0.500  0.500  0.000  3.79
In  0.750  0.250  0.500  -0.10

Computed properties:
Energy relative to the lowest polymorph listed for this composition   402 meV per atom
Formation energy (no corrections)   0.438 eV/atom
Total DFT energy (no corrections)   -21.171 eV/cell
SG   I4/mmm (139)

***

Computed, not measured: a relaxed CrRu4 crystal at the PBE level of DFT.

a = 6.275 Å, b = 6.275 Å, c = 6.275 Å
α = 145.05°, β = 145.05°, γ = 50.26°
Site moments in Bohr magnetons follow the coordinates.
Atoms (fractional coordinates):
Cr  0.000  0.000  0.000  3.33
Ru  0.250  0.750  0.500  -0.22
Ru  0.601  0.601  0.000  -0.12
Ru  0.399  0.399  0.000  -0.12
Ru  0.750  0.250  0.500  -0.22

Computed properties:
Energy relative to the lowest polymorph listed for this composition   536 meV per atom
Total DFT energy (no corrections)   -43.500 eV/cell
SG   I4/mmm (139)

***

Computed, not measured: a relaxed CdRuAu2 crystal at the PBE level of DFT.

a = 5.775 Å, b = 5.775 Å, c = 5.775 Å
α = 151.25°, β = 129.21°, γ = 59.42°
Site moments in Bohr magnetons follow the coordinates.
Atoms (fractional coordinates):
Au  0.988  0.988  0.000  0.00
Au  0.512  0.512  0.000  0.00
Cd  0.250  0.750  0.500  0.00
Ru  0.750  0.250  0.500  0.28

Computed properties:
Total DFT energy (no corrections)   -15.583 eV/cell
SG   Immm (71)

***

Computed, not measured: a relaxed Y4AlCl crystal at the PBE level of DFT.

a = 6.348 Å, b = 6.348 Å, c = 6.348 Å
α = 60.00°, β = 60.00°, γ = 60.00°
Atoms (fractional coordinates):
Y  0.868  0.377  0.377
Y  0.377  0.377  0.868
Y  0.377  0.868  0.377
Y  0.377  0.377  0.377
Al  0.750  0.750  0.750
Cl  0.000  0.000  0.000

Computed properties:
Formation energy (no corrections)   0.300 eV/atom
Total DFT energy (no corrections)   -29.644 eV/cell
SG   F-43m (216)

***

Computed, not measured: a relaxed Pr3PdPb crystal at the PBE level of DFT.

a = 4.943 Å, b = 7.522 Å, c = 8.909 Å
α = 114.16°, β = 90.00°, γ = 90.00°
Atoms (fractional coordinates):
Pr  0.750  0.639  0.400
Pr  0.250  0.361  0.600
Pr  0.750  0.318  0.936
Pr  0.250  0.951  0.755
Pr  0.250  0.682  0.064
Pr  0.750  0.049  0.245
Pd  0.250  0.926  0.411
Pd  0.750  0.074  0.589
Pb  0.250  0.301  0.185
Pb  0.750  0.699  0.815

Computed properties:
Total DFT energy (no corrections)   -51.938 eV/cell
SG   P2_1/m (11)

***

Computed, not measured: a relaxed HfU3Pt12 crystal at the PBE level of DFT.

a = 4.129 Å, b = 4.129 Å, c = 16.551 Å
α = 90.00°, β = 90.00°, γ = 90.00°
Site moments in Bohr magnetons follow the coordinates.
Atoms (fractional coordinates):
Hf  0.000  0.000  0.000  0.01
U  0.000  0.000  0.247  1.93
U  0.000  0.000  0.500  1.92
U  0.000  0.000  0.753  1.93
Pt  0.500  0.500  0.000  -0.01
Pt  0.500  0.500  0.245  0.01
Pt  0.500  0.500  0.500  0.01
Pt  0.500  0.500  0.755  0.01
Pt  0.500  0.000  0.118  0.01
Pt  0.500  0.000  0.373  0.01
Pt  0.500  0.000  0.627  0.01
Pt  0.500  0.000  0.882  0.01
Pt  0.000  0.500  0.118  0.01
Pt  0.000  0.500  0.373  0.01
Pt  0.000  0.500  0.627  0.01
Pt  0.000  0.500  0.882  0.01

Computed properties:
Total DFT energy (no corrections)   -129.137 eV/cell
SG   P4/mmm (123)

***

Computed, not measured: a relaxed Ba2ZrCu crystal at the PBE level of DFT.

a = 3.747 Å, b = 3.747 Å, c = 9.516 Å
α = 90.00°, β = 90.00°, γ = 89.99°
Site moments in Bohr magnetons follow the coordinates.
Atoms (fractional coordinates):
Ba  0.000  0.000  0.036  0.05
Ba  0.000  0.000  0.464  0.05
Cu  0.500  0.500  0.250  0.02
Zr  0.500  0.500  0.750  0.83

Computed properties:
Energy relative to the lowest polymorph listed for this composition   215 meV per atom
Total DFT energy (no corrections)   -14.580 eV/cell
SG   P4/mmm (123)

***

Computed, not measured: a relaxed V4As2C crystal at the PBE level of DFT.

a = 3.132 Å, b = 6.333 Å, c = 9.311 Å
α = 90.00°, β = 90.00°, γ = 90.00°
Atoms (fractional coordinates):
V  0.000  0.632  0.804
V  0.000  0.368  0.196
V  0.000  0.132  0.696
V  0.000  0.868  0.304
V  0.500  0.816  0.572
V  0.500  0.184  0.428
V  0.500  0.684  0.072
V  0.500  0.316  0.928
As  0.500  0.931  0.852
As  0.500  0.069  0.148
As  0.500  0.431  0.648
As  0.500  0.569  0.352
C  0.000  0.000  0.500
C  0.000  0.500  0.000

Computed properties:
Energy relative to the lowest polymorph listed for this composition   0 meV per atom
Total DFT energy (no corrections)   -117.215 eV/cell
SG   Pbam (55)

***

Computed, not measured: a relaxed Li2LaCeTl4 crystal at the PBE level of DFT.

a = 5.330 Å, b = 5.330 Å, c = 9.208 Å
α = 73.18°, β = 73.18°, γ = 60.00°
Site moments in Bohr magnetons follow the coordinates.
Atoms (fractional coordinates):
Li  0.750  0.750  0.750  0.00
Li  0.250  0.250  0.250  0.00
La  0.000  0.000  0.000  -0.01
Ce  0.500  0.500  0.500  0.85
Tl  0.376  0.376  0.871  0.00
Tl  0.873  0.873  0.380  0.01
Tl  0.127  0.127  0.620  0.01
Tl  0.624  0.624  0.129  0.00

Computed properties:
Total DFT energy (no corrections)   -26.649 eV/cell
SG   R-3m (166)

***

Computed, not measured: a relaxed Y2GaAg2 crystal at the PBE level of DFT.

a = 4.357 Å, b = 5.766 Å, c = 10.223 Å
α = 88.88°, β = 77.70°, γ = 67.80°
Atoms (fractional coordinates):
Y  0.673  0.315  0.339
Y  0.920  0.271  0.888
Y  0.327  0.685  0.661
Y  0.080  0.729  0.112
Ga  0.611  0.107  0.670
Ga  0.389  0.893  0.330
Ag  0.091  0.260  0.558
Ag  0.641  0.833  0.886
Ag  0.909  0.740  0.442
Ag  0.359  0.167  0.114

Computed properties:
Energy relative to the lowest polymorph listed for this composition   0 meV per atom
Total DFT energy (no corrections)   -47.101 eV/cell
SG   C2/m (12)

***

Computed, not measured: a relaxed Ag2AsIr crystal at the PBE level of DFT.

a = 7.559 Å, b = 7.559 Å, c = 5.915 Å
α = 50.29°, β = 50.29°, γ = 90.00°
Atoms (fractional coordinates):
As  0.500  0.500  0.000
As  0.250  0.750  0.500
Ir  0.000  0.000  0.000
Ir  0.750  0.250  0.500
Ag  0.609  0.125  0.250
Ag  0.141  0.625  0.250
Ag  0.375  0.391  0.750
Ag  0.875  0.859  0.750

Computed properties:
Total DFT energy (no corrections)   -34.298 eV/cell
SG   I-42d (122)

***

- Number 12 is which compound?
  Ag2AsIr